The following is a GGA+U calculation of a relaxed MgCrCuF6 crystal, from Alexandria.

Cell and atoms, written as CIF:
```
data_MgCrCuF6
_symmetry_space_group_name_H-M 'P -3 1 c'
_symmetry_Int_Tables_number 163
_symmetry_space_group_name_Hall '-P 3 2c'
_cell_length_a 5.2528
_cell_length_b 5.2528
_cell_length_c 9.2708
_cell_angle_alpha 90.00
_cell_angle_beta 90.00
_cell_angle_gamma 120.00
loop_
_atom_site_label
_atom_site_fract_x
_atom_site_fract_y
_atom_site_fract_z
Mg1 0.3333 0.6667 0.2500
Cr1 0.3333 0.6667 0.7500
Cu1 0.0000 0.0000 0.0000
F1 0.0064 0.3567 0.6369
```

Calculated values
**Calculated total energy**: -5.274 eV/atom